## KLiSe2Br (GGA-PBE)

Data for an optimized crystal structure of KLiSe2Br.

CIF file:
```
data_KLiSe2Br
_cell_length_a 6.061
_cell_length_b 6.061
_cell_length_c 6.071
_cell_angle_alpha 90.00
_cell_angle_beta 90.00
_cell_angle_gamma 90.00
_symmetry_space_group_name_H-M 'P 4/m m m'
_symmetry_Int_Tables_number 123
_symmetry_space_group_name_Hall '-P 4 2'
loop_
_atom_site_label
_atom_site_type_symbol
_atom_site_fract_x
_atom_site_fract_y
_atom_site_fract_z
K1 K 0.000 0.000 0.000
Li1 Li 0.500 0.500 0.500
Se1 Se 0.000 0.500 0.000
Br1 Br 0.000 0.000 0.500
```

Summary:
Excess energy over the best structure of this formula in the dataset = 666 meV per atom
Energy relative to the elements, uncorrected = 0.10 eV/atom

---

## KMg2GaPb4 (GGA-PBE)

Data for an optimized crystal structure of KMg2GaPb4.

CIF file:
```
data_KMg2GaPb4
_cell_length_a 5.3308
_cell_length_b 5.3308
_cell_length_c 29.2656
_cell_angle_alpha 90.00
_cell_angle_beta 90.00
_cell_angle_gamma 120.00
_symmetry_space_group_name_H-M 'R -3 m'
_symmetry_Int_Tables_number 166
_symmetry_space_group_name_Hall '-R 3 2"'
loop_
_atom_site_label
_atom_site_type_symbol
_atom_site_fract_x
_atom_site_fract_y
_atom_site_fract_z
K1 K 0.0000 0.0000 0.0000
Mg1 Mg 0.0000 0.0000 0.2430
Ga1 Ga 0.0000 0.0000 0.5000
Pb1 Pb 0.0000 0.0000 0.1305
Pb2 Pb 0.0000 0.0000 0.4008
```

Summary:
E_form = -0.0126 eV/atom

---

## In2SnCl (GGA-PBE)

Data for an optimized crystal structure of In2SnCl.

CIF file:
```
data_In2SnCl
_cell_length_a 3.3660
_cell_length_b 3.3660
_cell_length_c 33.6433
_cell_angle_alpha 90.00
_cell_angle_beta 90.00
_cell_angle_gamma 120.00
_symmetry_space_group_name_H-M 'R -3 m'
_symmetry_Int_Tables_number 166
_symmetry_space_group_name_Hall '-R 3 2"'
loop_
_atom_site_label
_atom_site_type_symbol
_atom_site_fract_x
_atom_site_fract_y
_atom_site_fract_z
In1 In 0.0000 0.0000 0.0968
Sn1 Sn 0.0000 0.0000 0.0000
Cl1 Cl 0.0000 0.0000 0.5000
```

Summary:
Excess energy over the best structure of this formula in the dataset = 110 meV per atom
Energy relative to the elements, uncorrected = -0.18 eV/atom